1.
LaCePmSn | PBE-GGA | relaxed

E_form = -221 meV per atom

Lattice parameters (Å, degrees): 7.8325 7.8325 7.8325 90.00 90.00 90.00
Space group F-43m (No. 216)
Symmetry-distinct sites (fractional):
La  0.0000  0.0000  0.0000 x4
Ce  0.2500  0.2500  0.2500 x4
Pm  0.0000  0.0000  0.5000 x4
Sn  0.2500  0.2500  0.7500 x4

---

2.
Na2AlBr4 | PBE-GGA | relaxed

E_form (uncorrected) = -7.5 eV/f.u.

Lattice parameters (Å, degrees): 7.0774 7.0774 10.9996 90.00 90.00 90.00
Space group I-42m (No. 121)
Symmetry-distinct sites (fractional):
Na  0.0000  0.5000  0.2500 x4
Al  0.0000  0.0000  0.0000 x2
Br  0.2226  0.2226  0.1185 x8

---

3.
VRe2Hg | PBE-GGA | relaxed

E_form = 954 meV per atom

Lattice parameters (Å, degrees): 3.9047 3.9047 18.8244 90.00 90.00 90.00
Space group I-42d (No. 122)
Symmetry-distinct sites (fractional):
V  0.0000  0.0000  0.0000 x4
Re  0.1873  0.2500  0.1250 x8
Hg  0.0000  0.0000  0.5000 x4

---

4.
CaPdW3 | PBE-GGA | relaxed

E above lowest polymorph = 1.119 eV/atom
E_form = 3116 meV per atom

Lattice parameters (Å, degrees): 4.5681 4.5681 4.5681 90.00 90.00 90.00
Space group Pm-3m (No. 221)
Symmetry-distinct sites (fractional):
Ca  0.0000  0.0000  0.0000 x1
Pd  0.5000  0.5000  0.5000 x1
W  0.0000  0.0000  0.5000 x3